[1]
A relaxed structure of Cd3In2Ag5, computed with GGA-PBE.

The magnetic moment comes out at 0.00 μB/f.u. The calculation puts the density of states at the Fermi level at 2.93 states/eV/f.u. Its crystal system is triclinic. The energy of formation comes out at 0.00 eV per atom.

It has space group P-1 (No. 2), with a = 5.8572 Å, b = 6.2127 Å, c = 12.2243 Å, α = 104.59°, β = 103.49° and γ = 90.22°. The distinct sites, in fractional coordinates, are Cd at (0.2217, 0.1028, 0.4297), Cd at (0.2496, 0.4990, 0.9999), Cd at (0.2784, 0.6787, 0.5711), In at (0.0992, 0.3072, 0.2070), In at (0.3986, 0.1068, 0.7957), Ag at (0.0728, 0.3171, 0.6395), Ag at (0.0910, 0.8280, 0.1812), Ag at (0.2495, 0.9993, 0.0001), Ag at (0.4118, 0.6506, 0.8190) and Ag at (0.4284, 0.6749, 0.3609).

=====

[2]
A relaxed structure of Cd3In8Ag, computed with GGA-PBE.

The magnetic moment comes out at 0.00 μB/f.u. The calculation puts the density of states at the Fermi level at 5.13 states/eV/f.u. Its crystal system is monoclinic. The energy of formation comes out at 0.03 eV per atom.

It has space group C2/m (No. 12), with a = 6.1973 Å, b = 11.3482 Å, c = 8.7300 Å, α = 90.00°, β = 90.54° and γ = 90.00°. The distinct sites, in fractional coordinates, are Cd at (0.0000, 0.0000, 0.0000), Cd at (0.2500, 0.2500, 0.5000), In at (0.0049, 0.2609, 0.8204), In at (0.2469, 0.0000, 0.6874), In at (0.2505, 0.0000, 0.3146) and Ag at (0.0000, 0.5000, 0.0000).

=====

[3]
A relaxed structure of Cd6InAg, computed with GGA-PBE.

The magnetic moment comes out at 0.00 μB/f.u. The calculation puts the density of states at the Fermi level at 3.98 states/eV/f.u. Its crystal system is tetragonal. The calculation puts the distance to the lowest polymorph of the same formula at 0.006 eV per atom. The energy of formation comes out at 0.02 eV per atom.

It has space group P4/mmm (No. 123), with a = 4.4569 Å, b = 4.4569 Å, c = 8.9841 Å, α = 90.00°, β = 90.00° and γ = 90.00°. The distinct sites, in fractional coordinates, are Cd at (0.0000, 0.0000, 0.0000), Cd at (0.0000, 0.0000, 0.5000), Cd at (0.0000, 0.5000, 0.2355), In at (0.5000, 0.5000, 0.5000) and Ag at (0.5000, 0.5000, 0.0000).

=====

[4]
A relaxed structure of Cd3InAg6, computed with GGA-PBE.

The magnetic moment comes out at 0.00 μB/f.u. The calculation puts the density of states at the Fermi level at 2.98 states/eV/f.u. Its crystal system is monoclinic. The calculation puts the distance to the lowest polymorph of the same formula at 0.000 eV per atom. The energy of formation comes out at -0.04 eV per atom.

It has space group P2_1/m (No. 11), with a = 8.0039 Å, b = 4.8407 Å, c = 10.6653 Å, α = 90.00°, β = 111.42° and γ = 90.00°. The distinct sites, in fractional coordinates, are Cd at (0.0159, 0.2500, 0.1728), Cd at (0.2080, 0.2500, 0.9667), Cd at (0.3944, 0.7500, 0.4205), In at (0.1958, 0.7500, 0.6317), Ag at (0.0003, 0.2500, 0.6696), Ag at (0.2008, 0.7500, 0.1256), Ag at (0.2078, 0.2500, 0.4701), Ag at (0.3981, 0.7500, 0.9325), Ag at (0.4007, 0.2500, 0.7706) and Ag at (0.4078, 0.2500, 0.2647).

=====

[5]
A relaxed structure of CdIn3Ag4, computed with GGA-PBE.

The magnetic moment comes out at 0.00 μB/f.u. The calculation puts the density of states at the Fermi level at 2.10 states/eV/f.u. Its crystal system is monoclinic. The energy of formation comes out at 0.01 eV per atom.

It has space group C2/m (No. 12), with a = 9.2678 Å, b = 4.3981 Å, c = 8.9986 Å, α = 90.00°, β = 115.60° and γ = 90.00°. The distinct sites, in fractional coordinates, are Cd at (0.0000, 0.0000, 0.0000), In at (0.0000, 0.0000, 0.5000), In at (0.0036, 0.5000, 0.7556), Ag at (0.2475, 0.5000, 0.1220) and Ag at (0.2483, 0.0000, 0.3725).

=====

[6]
A relaxed structure of CdIn8Ag6, computed with GGA-PBE.

The magnetic moment comes out at 0.00 μB/f.u. The calculation puts the density of states at the Fermi level at 5.46 states/eV/f.u. Its crystal system is trigonal. The energy of formation comes out at 0.04 eV per atom.

It has space group P-3 (No. 147), with a = 7.4168 Å, b = 7.4168 Å, c = 7.3512 Å, α = 90.00°, β = 90.00° and γ = 120.00°. The distinct sites, in fractional coordinates, are Cd at (0.0000, 0.0000, 0.0000), In at (0.1037, 0.3185, 0.6761), In at (0.3333, 0.6667, 0.4058) and Ag at (0.1281, 0.4256, 0.0789).

=====

[7]
A relaxed structure of Cd2InAg7, computed with GGA-PBE.

The magnetic moment comes out at 0.00 μB/f.u. The calculation puts the density of states at the Fermi level at 1.48 states/eV/f.u. Its crystal system is monoclinic. The energy of formation comes out at -0.02 eV per atom.

It has space group Cm (No. 8), with a = 8.5613 Å, b = 4.5077 Å, c = 10.0152 Å, α = 90.00°, β = 101.47° and γ = 90.00°. The distinct sites, in fractional coordinates, are Cd at (0.0000, 0.0000, 0.0000), Cd at (0.1023, 0.0000, 0.3036), In at (0.3984, 0.5000, 0.6891), Ag at (0.0006, 0.5000, 0.4940), Ag at (0.0996, 0.5000, 0.7966), Ag at (0.2005, 0.0000, 0.5997), Ag at (0.2009, 0.5000, 0.0958), Ag at (0.2991, 0.0000, 0.8992), Ag at (0.3007, 0.5000, 0.3924) and Ag at (0.4005, 0.0000, 0.1963).

=====

[8]
A relaxed structure of CdInAg, computed with GGA-PBE.

The magnetic moment comes out at 0.00 μB/f.u. The calculation puts the density of states at the Fermi level at 0.69 states/eV/f.u. Its crystal system is tetragonal. The energy of formation comes out at 0.02 eV per atom.

It has space group I4mm (No. 107), with a = 3.1076 Å, b = 3.1076 Å, c = 13.5428 Å, α = 90.00°, β = 90.00° and γ = 90.00°. The distinct sites, in fractional coordinates, are Cd at (0.0000, 0.0000, 0.0000), In at (0.0000, 0.0000, 0.6886) and Ag at (0.0000, 0.0000, 0.3499).

=====

[9]
A relaxed structure of CdIn2Ag2, computed with GGA-PBE.

The magnetic moment comes out at 0.00 μB/f.u. The calculation puts the density of states at the Fermi level at 1.78 states/eV/f.u. Its crystal system is tetragonal. The calculation puts the distance to the lowest polymorph of the same formula at 0.094 eV per atom. The energy of formation comes out at 0.08 eV per atom.

It has space group P4/mbm (No. 127), with a = 8.4429 Å, b = 8.4429 Å, c = 3.1782 Å, α = 90.00°, β = 90.00° and γ = 90.00°. The distinct sites, in fractional coordinates, are Cd at (0.0000, 0.0000, 0.0000), In at (0.1321, 0.3679, 0.0000) and Ag at (0.1683, 0.6683, 0.5000).

=====

[10]
A relaxed structure of CdInAg3, computed with GGA-PBE.

The magnetic moment comes out at 0.00 μB/f.u. The calculation puts the density of states at the Fermi level at 1.81 states/eV/f.u. Its crystal system is cubic. The calculation puts the distance to the lowest polymorph of the same formula at 0.551 eV per atom. The energy of formation comes out at 0.53 eV per atom.

It has space group Pm-3m (No. 221), with a = 5.2223 Å, b = 5.2223 Å, c = 5.2223 Å, α = 90.00°, β = 90.00° and γ = 90.00°. The distinct sites, in fractional coordinates, are Cd at (0.0000, 0.0000, 0.0000), In at (0.5000, 0.5000, 0.5000) and Ag at (0.0000, 0.0000, 0.5000).

=====

[11]
A relaxed structure of CdIn3Ag, computed with GGA-PBE.

The magnetic moment comes out at 0.00 μB/f.u. The calculation puts the density of states at the Fermi level at 2.18 states/eV/f.u. Its crystal system is monoclinic. The calculation puts the distance to the lowest polymorph of the same formula at 0.000 eV per atom. The energy of formation comes out at 0.03 eV per atom.

It has space group C2/c (No. 15), with a = 17.1950 Å, b = 9.7810 Å, c = 5.9075 Å, α = 90.00°, β = 95.74° and γ = 90.00°. The distinct sites, in fractional coordinates, are Cd at (0.2173, 0.1715, 0.1736), In at (0.0478, 0.2506, 0.0215), In at (0.1464, 0.1155, 0.6235), In at (0.1549, 0.4385, 0.4759), Ag at (0.0000, 0.0036, 0.2500) and Ag at (0.0000, 0.4911, 0.7500).

=====

[12]
A relaxed structure of Cd2InAg2, computed with GGA-PBE.

The magnetic moment comes out at 0.00 μB/f.u. The calculation puts the density of states at the Fermi level at 2.47 states/eV/f.u. Its crystal system is tetragonal. The calculation puts the distance to the lowest polymorph of the same formula at 0.109 eV per atom. The energy of formation comes out at 0.09 eV per atom.

It has space group I4/mmm (No. 139), with a = 4.0702 Å, b = 4.0702 Å, c = 13.8805 Å, α = 90.00°, β = 90.00° and γ = 90.00°. The distinct sites, in fractional coordinates, are Cd at (0.0000, 0.5000, 0.2500), In at (0.0000, 0.0000, 0.0000) and Ag at (0.0000, 0.0000, 0.4012).